First-principles (PBE-GGA) data for crystalline CoPtCl2 at its relaxed geometry, as listed in the Alexandria database.

Properties
The uncorrected formation energy comes out at 0.41 eV/atom. The calculation puts the size of the total moment at 1.98 μB/f.u. The value obtained for the distance to the lowest polymorph of the same formula is 502 meV per atom. As for the space group: Cmmm. As for the mass density: 7.34 g/cm3.

a b c (Å): 3.860 4.366 4.367
angles (deg): 92.40 90.00 90.00
Each line ends with the local moment (μB).
Fractional positions:
Co 0.500 0.250 0.250  1.92
Pt 0.500 0.750 0.750  0.01
Cl 0.000 0.009 0.009  0.03
Cl 0.000 0.491 0.491  0.03